Compound: SrV2Co
Source: Alexandria via LeMat-Bulk
Functional: PBE
Structure: optimized geometry

Values from the calculation:
Its symmetry is Fm-3m (225). As for the electronic total energy: -0.2086 Ha/atom. As for the energy of formation: 1080 meV per atom. The calculation puts the total magnetization at 0.1 μB/cell. The calculation puts the density of states at the Fermi level at 1.25 states/eV/atom.

a = 4.489 Å, b = 4.489 Å, c = 4.489 Å
α = 60.00°, β = 60.00°, γ = 60.00°
Site moments in Bohr magnetons follow the coordinates.
Element x y z (fractional)
Co: 0.000 0.000 0.000  -0.09
V: 0.250 0.250 0.250  0.07
V: 0.750 0.750 0.750  0.07
Sr: 0.500 0.500 0.500  0.01